Record 1
# Ba2Sb2F

A geometry-optimized Ba2Sb2F structure (GGA-PBE, the Alexandria database).

Cell and atoms, written as POSCAR:
```
Ba2Sb2F
1.0
8.018 0.000 0.000
0.000 8.018 0.000
0.000 0.000 5.435
Ba Sb F
4 4 2
Direct
0.184 0.316 0.000
0.316 0.816 0.000
0.684 0.184 0.000
0.816 0.684 0.000
0.122 0.622 0.500
0.378 0.122 0.500
0.622 0.878 0.500
0.878 0.378 0.500
0.000 0.000 0.000
0.500 0.500 0.000
```

Output
**E_form (uncorrected)**: -1.5477 eV/atom

***

Record 2
# Ba2SbF

A geometry-optimized Ba2SbF structure (GGA-PBE, the Alexandria database).

Cell and atoms, written as POSCAR:
```
Ba2SbF
1.0
2.669 1.541 8.327
-2.669 1.541 8.327
0.000 -3.081 8.327
Ba Sb F
2 1 1
Direct
0.099 0.099 0.099
0.901 0.901 0.901
0.500 0.500 0.500
0.000 0.000 0.000
```

Output
**E_form (uncorrected)**: -1.9677 eV/atom
**Offset from the most stable computed form**: 44 meV/atom

***

Record 3
# Ba3Sb2F

A geometry-optimized Ba3Sb2F structure (GGA-PBE, the Alexandria database).

Cell and atoms, written as POSCAR:
```
Ba3Sb2F
1.0
10.045 0.000 0.000
0.000 4.645 0.000
0.000 0.000 19.725
Ba Sb F
12 8 4
Direct
0.011 0.250 0.105
0.123 0.250 0.579
0.179 0.750 0.274
0.321 0.250 0.774
0.377 0.750 0.079
0.489 0.750 0.605
0.511 0.250 0.395
0.623 0.250 0.921
0.679 0.750 0.226
0.821 0.250 0.726
0.877 0.750 0.421
0.989 0.750 0.895
0.085 0.750 0.717
0.250 0.250 0.957
0.250 0.750 0.457
0.415 0.250 0.217
0.585 0.750 0.783
0.750 0.250 0.543
0.750 0.750 0.043
0.915 0.250 0.283
0.130 0.750 0.134
0.370 0.250 0.634
0.630 0.750 0.366
0.870 0.250 0.866
```

Output
**E_form (uncorrected)**: -1.6680 eV/atom
**Offset from the most stable computed form**: 26 meV/atom

***

Record 4
# BaSbF5

A geometry-optimized BaSbF5 structure (GGA-PBE, the Alexandria database).

Cell and atoms, written as POSCAR:
```
BaSbF5
1.0
4.795 0.000 0.000
0.000 9.510 0.000
0.000 0.000 11.447
Ba Sb F
4 4 20
Direct
0.012 0.250 0.000
0.012 0.250 0.500
0.988 0.750 0.000
0.988 0.750 0.500
0.391 0.056 0.250
0.391 0.444 0.750
0.609 0.556 0.250
0.609 0.944 0.750
0.099 0.208 0.250
0.099 0.292 0.750
0.112 0.512 0.617
0.112 0.512 0.883
0.112 0.988 0.117
0.112 0.988 0.383
0.472 0.693 0.115
0.472 0.693 0.385
0.472 0.807 0.615
0.472 0.807 0.885
0.528 0.193 0.115
0.528 0.193 0.385
0.528 0.307 0.615
0.528 0.307 0.885
0.888 0.012 0.617
0.888 0.012 0.883
0.888 0.488 0.117
0.888 0.488 0.383
0.901 0.708 0.250
0.901 0.792 0.750
```

Output
**E_form (uncorrected)**: -3.0723 eV/atom
**Offset from the most stable computed form**: 0 meV/atom

***

| no. | spin magnetization (μB/atom) |
| --- | --- |
| 1 | 0.0000 |
| 2 | 0.0000 |
| 3 | 0.0000 |
| 4 | 0.0000 |